# 1
Below is a geometry-optimized GaAsRhO6 structure, with properties calculated at the PBE level.

Structure (POSCAR):
```
GaAsRhO6
1.0
4.966 0.000 0.000
-2.483 4.301 0.000
0.000 0.000 8.535
Ga As Rh O
2 2 2 12
direct
0.333 0.667 0.250 Ga
0.667 0.333 0.750 Ga
0.333 0.667 0.750 As
0.667 0.333 0.250 As
0.000 0.000 0.000 Rh
0.000 0.000 0.500 Rh
0.016 0.354 0.630 O
0.016 0.662 0.870 O
0.338 0.354 0.870 O
0.338 0.984 0.630 O
0.354 0.016 0.130 O
0.354 0.338 0.370 O
0.646 0.662 0.630 O
0.646 0.984 0.870 O
0.662 0.016 0.370 O
0.662 0.646 0.130 O
0.984 0.338 0.130 O
0.984 0.646 0.370 O
```

## Properties
The value obtained for the final energy is -6.08 eV per atom. Its space group is P-31c, No. 163.

***

# 2
Below is a geometry-optimized GaAs2RuO structure, with properties calculated at the PBE level.

Structure (POSCAR):
```
GaAs2RuO
1.0
4.346 0.000 0.000
0.000 4.346 0.000
0.000 0.000 4.200
Ga As Ru O
1 2 1 1
direct
0.000 0.000 0.000 Ga
0.000 0.500 0.500 As
0.500 0.000 0.500 As
0.500 0.500 0.000 Ru
0.500 0.500 0.500 O
```

## Properties
The value obtained for the final energy is -4.95 eV per atom. Its space group is P4/mmm, No. 123.

***

# 3
Below is a geometry-optimized Ga2AsSO structure, with properties calculated at the PBE level.

Structure (POSCAR):
```
Ga2AsSO
1.0
4.592 0.000 0.000
0.000 4.592 0.000
0.000 0.000 4.047
Ga As S O
2 1 1 1
direct
0.000 0.500 0.000 Ga
0.500 0.000 0.000 Ga
0.000 0.000 0.500 As
0.500 0.500 0.500 S
0.500 0.500 0.000 O
```

## Properties
The value obtained for the final energy is -3.86 eV per atom. Its space group is P4/mmm, No. 123.

***

Number 1: mass density 6258 kg/m3. Number 2: mass density 7048 kg/m3. Number 3: mass density 5107 kg/m3.